Density functional theory data (PBE) for a relaxed Sr2MgNiSn6 crystal.

The structure in extended XYZ format:
```
10
Lattice="7.2339 0.0000 0.0000 -3.6170 6.2648 0.0000 0.0000 0.0000 6.1237" Properties=species:S:1:pos:R:3 pbc="T T T"
Sr 0.0000 4.1765 1.9922
Sr 3.6170 2.0883 4.1315
Mg 0.0000 0.0000 3.0618
Ni 0.0000 0.0000 0.0000
Sn 0.0000 2.3485 4.9801
Sn -1.5831 5.0905 4.9801
Sn 2.0339 1.1743 1.1435
Sn 1.5831 5.0905 4.9801
Sn 5.2001 1.1743 1.1435
Sn 3.6170 3.9163 1.1435
```

Computed properties:
space group	No. 164
total DFT energy (no corrections)	-37.9	eV for the cell shown
DOS at the Fermi energy	5.2	states/eV/cell
energy of formation	-0.314	eV per atom